VASP calculation (GGA-PBE) on crystalline Tl3CoCl6 at its relaxed geometry.

Final energy: -0.124 hartree per atom
Energy above the most stable polymorph in this dataset: 0.00 eV per formula unit
Crystal system: orthorhombic
Space group: Cmc2_1 (36)
Raw formation energy: -0.834 eV per atom

Lattice parameters (Å, degrees): 9.7938 9.7938 7.5949 90.00 90.00 104.26
Closest atoms and distances in Å follow each position.
Sites, in units of the cell vectors:
Tl  0.1007  0.8993  0.5000  4 Cl 3.12-3.13
Tl  0.2084  0.3978  0.4701  2 Cl 2.93-2.98
Tl  0.3978  0.2084  0.9701  2 Cl 2.93-2.98
Tl  0.6022  0.7916  0.4701  2 Cl 2.93-2.98
Tl  0.7916  0.6022  0.9701  2 Cl 2.93-2.98
Tl  0.8993  0.1007  0.0000  4 Cl 3.12-3.13
Co  0.3088  0.6912  0.9070  4 Cl 2.17-2.21
Co  0.6912  0.3088  0.4070  4 Cl 2.17-2.21
Cl  0.1019  0.6046  0.7874  1 Co 2.19
Cl  0.1495  0.1703  0.7316  4 Tl 2.93-3.13
Cl  0.1703  0.1495  0.2316  4 Tl 2.93-3.13
Cl  0.2966  0.7034  0.1921  1 Co 2.17
Cl  0.3954  0.8981  0.7874  1 Co 2.19
Cl  0.4453  0.5547  0.8228  1 Co 2.21
Cl  0.5547  0.4453  0.3228  1 Co 2.21
Cl  0.6046  0.1019  0.2874  1 Co 2.19
Cl  0.7034  0.2966  0.6921  1 Co 2.17
Cl  0.8297  0.8505  0.7316  4 Tl 2.93-3.13
Cl  0.8505  0.8297  0.2316  4 Tl 2.93-3.13
Cl  0.8981  0.3954  0.2874  1 Co 2.19